# 1
DFT (GGA-PBE) results for crystalline CaTa2Co at its relaxed geometry.

abc: 5.0189 5.0189 8.9996
angles: 73.81 73.81 90.00
Fractional coordinates of all 8 atoms:
Ca  0.5000  0.5000  0.0000
Ca  0.2500  0.7500  0.5000
Co  0.0000  0.0000  0.0000
Co  0.7500  0.2500  0.5000
Ta  0.8361  0.1250  0.2500
Ta  0.9139  0.6250  0.2500
Ta  0.3750  0.1639  0.7500
Ta  0.8750  0.0861  0.7500

Computed properties:
E_form, kJ/mol of formula units: 441
N(E_F), states/eV/f.u.: 4.319
Polymorph energy (0 for the lowest one), meV per atom: 926.4

=====

# 2
DFT (GGA-PBE) results for crystalline HoMgZn11 at its relaxed geometry.

abc: 5.3743 6.8607 6.7960
angles: 80.99 66.71 66.66
Fractional coordinates of all 13 atoms:
Ho  0.0000  0.0000  0.0000
Mg  0.5000  0.5000  0.0000
Zn  0.2802  0.2126  0.2181
Zn  0.7198  0.7874  0.7819
Zn  0.5017  0.7874  0.2181
Zn  0.4983  0.2126  0.7819
Zn  0.3447  0.6501  0.6426
Zn  0.6553  0.3499  0.3574
Zn  0.0127  0.3499  0.6426
Zn  0.9873  0.6501  0.3574
Zn  0.0000  0.5000  0.0000
Zn  0.5000  0.0000  0.5000
Zn  0.0000  0.0000  0.5000

Computed properties:
E_form, kJ/mol of formula units: -195
N(E_F), states/eV/f.u.: 2.272

=====

# 3
DFT (GGA-PBE) results for crystalline PdPb6Au2 at its relaxed geometry.

abc: 7.1094 7.2764 9.4252
angles: 90.00 88.10 90.00
Fractional coordinates of all 18 atoms:
Pd  0.5000  0.5000  0.0000
Pd  0.0000  0.0000  0.5000
Pb  0.8771  0.0151  0.2212
Pb  0.8267  0.6666  0.5712
Pb  0.8471  0.6756  0.9456
Pb  0.6529  0.1756  0.5544
Pb  0.6733  0.1666  0.9288
Pb  0.6229  0.5151  0.2788
Pb  0.1229  0.9849  0.7788
Pb  0.1733  0.3334  0.4288
Pb  0.1529  0.3244  0.0544
Pb  0.3471  0.8244  0.4456
Pb  0.3267  0.8334  0.0712
Pb  0.3771  0.4849  0.7212
Au  0.9760  0.3637  0.7451
Au  0.5240  0.8637  0.7549
Au  0.4760  0.1363  0.2451
Au  0.0240  0.6363  0.2549

Computed properties:
E_form, kJ/mol of formula units: -62
N(E_F), states/eV/f.u.: 3.498
Polymorph energy (0 for the lowest one), meV per atom: 12.8

=====

# 4
DFT (GGA-PBE) results for crystalline Th4AlGa12 at its relaxed geometry.

abc: 7.7205 7.7205 7.7205
angles: 109.47 109.47 109.47
Fractional coordinates of all 17 atoms:
Th  0.0000  0.0000  0.5000
Th  0.5000  0.0000  0.0000
Th  0.5000  0.5000  0.5000
Th  0.0000  0.5000  0.0000
Al  0.0000  0.0000  0.0000
Ga  0.0000  0.3088  0.3088
Ga  0.0000  0.6912  0.6912
Ga  0.6912  0.6912  0.0000
Ga  0.3088  0.3088  0.0000
Ga  0.3088  0.0000  0.3088
Ga  0.6912  0.0000  0.6912
Ga  0.5000  0.2500  0.7500
Ga  0.5000  0.7500  0.2500
Ga  0.7500  0.2500  0.5000
Ga  0.2500  0.7500  0.5000
Ga  0.7500  0.5000  0.2500
Ga  0.2500  0.5000  0.7500

Computed properties:
E_form, kJ/mol of formula units: -754
N(E_F), states/eV/f.u.: 12.282

=====

# 5
DFT (GGA-PBE) results for crystalline Sm3Sc2Zn3 at its relaxed geometry.

abc: 3.5596 5.1605 10.9820
angles: 103.59 99.33 90.00
Fractional coordinates of all 8 atoms:
Sm  0.3772  0.3772  0.7544
Sm  0.6228  0.6228  0.2456
Sm  0.5000  0.0000  0.0000
Sc  0.2670  0.7670  0.5340
Sc  0.7330  0.2330  0.4660
Zn  0.8741  0.8741  0.7481
Zn  0.0000  0.5000  0.0000
Zn  0.1259  0.1259  0.2519

Computed properties:
E_form, kJ/mol of formula units: -179
N(E_F), states/eV/f.u.: 11.475

=====

# 6
DFT (GGA-PBE) results for crystalline MnZnFe2 at its relaxed geometry.

abc: 2.4713 2.4713 8.1330
angles: 90.00 90.00 107.18
Each line ends with the local moment (μB).
Fractional coordinates of all 4 atoms:
Fe  0.0000  0.0000  0.0087  2.35
Fe  0.5000  0.5000  0.2516  2.25
Mn  0.0000  0.0000  0.4899  0.72
Zn  0.5000  0.5000  0.7498  -0.05

Computed properties:
E_form, kJ/mol of formula units: 43
N(E_F), states/eV/f.u.: 4.442

=====

# 7
DFT (GGA-PBE) results for crystalline ScPa2S5 at its relaxed geometry.

abc: 7.2845 7.6799 11.5336
angles: 90.00 90.00 90.00
Each line ends with the local moment (μB).
Fractional coordinates of all 32 atoms:
Sc  0.4311  0.2500  0.5024  0.06
Sc  0.5689  0.7500  0.4976  0.06
Sc  0.9311  0.7500  0.9976  0.06
Sc  0.0689  0.2500  0.0024  0.06
Pa  0.4779  0.5002  0.8211  0.84
Pa  0.5221  0.4998  0.1789  0.84
Pa  0.9779  0.4998  0.6789  0.84
Pa  0.5221  0.0002  0.1789  0.84
Pa  0.0221  0.5002  0.3211  0.84
Pa  0.4779  0.9998  0.8211  0.84
Pa  0.0221  0.9998  0.3211  0.84
Pa  0.9779  0.0002  0.6789  0.84
S  0.0347  0.2500  0.5014  -0.03
S  0.9653  0.7500  0.4986  -0.03
S  0.5347  0.7500  0.9986  -0.03
S  0.4653  0.2500  0.0014  -0.03
S  0.3370  0.9657  0.5957  -0.02
S  0.6630  0.0343  0.4043  -0.02
S  0.8370  0.0343  0.9043  -0.02
S  0.6630  0.4657  0.4043  -0.02
S  0.1630  0.9657  0.0957  -0.02
S  0.3370  0.5343  0.5957  -0.02
S  0.1630  0.5343  0.0957  -0.02
S  0.8370  0.4657  0.9043  -0.02
S  0.1944  0.2500  0.7908  -0.03
S  0.8056  0.7500  0.2092  -0.03
S  0.6944  0.7500  0.7092  -0.03
S  0.3056  0.2500  0.2908  -0.03
S  0.6725  0.2500  0.6856  -0.03
S  0.3275  0.7500  0.3144  -0.03
S  0.1725  0.7500  0.8144  -0.03
S  0.8275  0.2500  0.1856  -0.03

Computed properties:
Energy relative to the elements, uncorrected, eV/atom: -1.71
N(E_F), states/eV/f.u.: 8.008

=====

# 8
DFT (GGA-PBE) results for crystalline RuBr4Cl at its relaxed geometry.

abc: 7.0917 5.9575 9.4311
angles: 108.44 77.63 90.00
Each line ends with the local moment (μB).
Fractional coordinates of all 12 atoms:
Ru  0.0000  0.0000  0.5000  0.72
Ru  0.5000  0.5000  0.5000  0.72
Br  0.9498  0.3412  0.7376  0.06
Br  0.5501  0.6033  0.2624  0.06
Br  0.0502  0.6588  0.2624  0.06
Br  0.4499  0.3967  0.7376  0.06
Br  0.7041  0.8259  0.6220  0.05
Br  0.7959  0.2037  0.3779  0.05
Br  0.2959  0.1741  0.3780  0.05
Br  0.2041  0.7963  0.6221  0.05
Cl  0.7499  0.3792  0.9999  -0.01
Cl  0.2501  0.6208  0.0001  -0.01

Computed properties:
Energy relative to the elements, uncorrected, eV/atom: -0.10
N(E_F), states/eV/f.u.: 2.607
Polymorph energy (0 for the lowest one), meV per atom: 0.0

=====

The lowest N(E_F) belongs to which entry?
HoMgZn11